Entry 1:
A relaxed CrNiAsPb2 crystal, computed with GGA-PBE.

Unit cell a=4.9934 b=4.8349 c=4.9934 alpha=90.00 beta=90.00 gamma=90.00
Closest atoms and distances in Å follow each position.
Element x y z (fractional)
Pb 0.0000 0.0000 0.5000  2 Ni 2.50
Pb 0.5000 0.0000 0.0000  2 Ni 2.50
Ni 0.0000 0.0000 0.0000  2 Cr 2.42, 4 Pb 2.50
As 0.5000 0.5000 0.5000  8 Pb 3.48, 4 Cr 3.53
Cr 0.0000 0.5000 0.0000  2 Ni 2.42

Computed properties:
E_tot: -4.97 eV per atom
size of the total moment: 0.9066 μB/atom
D(E_F): 0.58 states/eV/atom

Entry 2:
A relaxed Pm2CrNi3As4 crystal, computed with GGA-PBE.

Unit cell a=4.2099 b=4.2099 c=9.7361 alpha=90.00 beta=90.00 gamma=90.00
Closest atoms and distances in Å follow each position.
Element x y z (fractional)
Pm 0.5000 0.0000 0.2410  8 As 3.15-3.20, 7 Ni 3.21-3.48, 2 Cr 3.28
Pm 0.0000 0.5000 0.7590  8 As 3.15-3.20, 7 Ni 3.21-3.48, 2 Cr 3.28
Cr 0.5000 0.5000 0.5000  4 As 2.50
Ni 0.0000 0.0000 0.5000  4 As 2.50
Ni 0.5000 0.0000 0.8836  5 As 2.39
Ni 0.0000 0.5000 0.1164  5 As 2.39
As 0.5000 0.5000 0.0000  4 Ni 2.39
As 0.0000 0.0000 0.0000  4 Ni 2.39
As 0.5000 0.0000 0.6381  3 Ni 2.39-2.50, 2 Cr 2.50
As 0.0000 0.5000 0.3619  3 Ni 2.39-2.50, 2 Cr 2.50

Computed properties:
E_tot: -6.25 eV per atom
size of the total moment: 0.3345 μB/atom
D(E_F): 0.37 states/eV/atom

Entry 3:
A relaxed Pr2CrNi3As4 crystal, computed with GGA-PBE.

Unit cell a=4.2423 b=4.2423 c=9.7760 alpha=90.00 beta=90.00 gamma=90.00
Closest atoms and distances in Å follow each position.
Element x y z (fractional)
Pr 0.5000 0.0000 0.2416  8 As 3.17-3.23, 7 Ni 3.25-3.48, 2 Cr 3.30
Pr 0.0000 0.5000 0.7584  8 As 3.17-3.23, 7 Ni 3.25-3.48, 2 Cr 3.30
Cr 0.5000 0.5000 0.5000  4 As 2.51
Ni 0.0000 0.0000 0.5000  4 As 2.51
Ni 0.5000 0.0000 0.8853  5 As 2.40-2.42
Ni 0.0000 0.5000 0.1147  5 As 2.40-2.42
As 0.5000 0.5000 0.0000  4 Ni 2.40
As 0.0000 0.0000 0.0000  4 Ni 2.40
As 0.5000 0.0000 0.6373  3 Ni 2.42-2.51, 2 Cr 2.51
As 0.0000 0.5000 0.3627  3 Ni 2.42-2.51, 2 Cr 2.51

Computed properties:
E_tot: -6.25 eV per atom
size of the total moment: 0.3386 μB/atom
D(E_F): 0.37 states/eV/atom

Entry 4:
A relaxed CrNi7As2Pt2 crystal, computed with GGA-PBE.

Unit cell a=3.5268 b=3.5268 c=12.6772 alpha=81.92 beta=81.92 gamma=90.01
Closest atoms and distances in Å follow each position.
Element x y z (fractional)
Cr 0.0000 0.0000 0.0000  12 Ni 2.49-2.52
Ni 0.5000 0.5000 0.0000  4 Cr 2.49, 8 Ni 2.52
Ni 0.2738 0.2738 0.4550  1 As 2.23
Ni 0.7262 0.7262 0.5450  1 As 2.23
Ni 0.9271 0.4272 0.1444  2 As 2.40, 6 Ni 2.49-2.52, 2 Cr 2.51-2.52
Ni 0.4272 0.9271 0.1444  2 As 2.40, 6 Ni 2.49-2.52, 2 Cr 2.51-2.52
Ni 0.5728 0.0729 0.8556  2 As 2.40, 6 Ni 2.49-2.52, 2 Cr 2.51-2.52
Ni 0.0729 0.5728 0.8556  2 As 2.40, 6 Ni 2.49-2.52, 2 Cr 2.51-2.52
As 0.6388 0.6388 0.7249  5 Ni 2.23-2.40
As 0.3612 0.3612 0.2751  5 Ni 2.23-2.40
Pt 0.8292 0.8292 0.3406  1 Ni 2.54, 4 As 2.62-2.63
Pt 0.1708 0.1708 0.6594  1 Ni 2.54, 4 As 2.62-2.63

Computed properties:
E_tot: -6.02 eV per atom
size of the total moment: 0.1560 μB/atom
D(E_F): 0.80 states/eV/atom

Entry 5:
A relaxed CrNiAs2Pt crystal, computed with GGA-PBE.

Unit cell a=4.4931 b=4.3868 c=4.4931 alpha=90.00 beta=90.00 gamma=90.00
Closest atoms and distances in Å follow each position.
Element x y z (fractional)
Ni 0.0000 0.5000 0.0000  2 Cr 2.19
As 0.0000 0.0000 0.5000  2 Cr 2.25
As 0.5000 0.0000 0.0000  2 Cr 2.25
Pt 0.5000 0.5000 0.5000  8 As 3.14, 4 Ni 3.18
Cr 0.0000 0.0000 0.0000  2 Ni 2.19, 4 As 2.25

Computed properties:
E_tot: -5.43 eV per atom
size of the total moment: 0.0002 μB/atom
D(E_F): 0.93 states/eV/atom

Entry 6:
A relaxed RbCr2NiAs crystal, computed with GGA-PBE.

Unit cell a=5.1250 b=5.1250 c=4.4324 alpha=90.00 beta=90.00 gamma=90.00
Closest atoms and distances in Å follow each position.
Element x y z (fractional)
Ni 0.0000 0.0000 0.0000  2 As 2.22
As 0.0000 0.0000 0.5000  2 Ni 2.22
Rb 0.5000 0.5000 0.5000  8 Cr 3.39, 4 As 3.62
Cr 0.0000 0.5000 0.0000  2 Ni 2.56
Cr 0.5000 0.0000 0.0000  2 Ni 2.56

Computed properties:
E_tot: -5.44 eV per atom
size of the total moment: 1.9464 μB/atom
D(E_F): 0.48 states/eV/atom